(1)
Compound: Ba4As3
Source: Alexandria
Functional: GGA-PBEsol
Structure: relaxed

Computed properties:
- Calculated formation energy: -1.050 eV/atom
- E: -4.466 eV/atom
- Magnetization: 0.00 μB/atom

```
data_Ba4As3
_cell_length_a 9.863
_cell_length_b 9.863
_cell_length_c 9.863
_cell_angle_alpha 90.00
_cell_angle_beta 90.00
_cell_angle_gamma 90.00
_symmetry_space_group_name_H-M 'I -4 3 d'
_symmetry_Int_Tables_number 220
_symmetry_space_group_name_Hall 'I -4bd 2c 3'
loop_
_atom_site_label
_atom_site_fract_x
_atom_site_fract_y
_atom_site_fract_z
Ba1 0.071 0.071 0.071
As1 0.000 0.250 0.375
```

---

(2)
Compound: Ba3As
Source: Alexandria
Functional: GGA-PBEsol
Structure: relaxed

Computed properties:
- ΔE to the lowest computed polymorph: 0 meV/atom
- Calculated formation energy: -0.579 eV/atom
- E: -3.467 eV/atom
- Magnetization: 0.24 μB/atom

```
data_Ba3As
_cell_length_a 4.6216
_cell_length_b 4.6216
_cell_length_c 34.8114
_cell_angle_alpha 90.00
_cell_angle_beta 90.00
_cell_angle_gamma 120.00
_symmetry_space_group_name_H-M 'R -3 m'
_symmetry_Int_Tables_number 166
_symmetry_space_group_name_Hall '-R 3 2"'
loop_
_atom_site_label
_atom_site_fract_x
_atom_site_fract_y
_atom_site_fract_z
Ba1 0.0000 0.0000 0.0000
Ba2 0.0000 0.0000 0.2174
As1 0.0000 0.0000 0.5000
```

---

(3)
Compound: Ba2BeAs
Source: Alexandria
Functional: GGA-PBEsol
Structure: relaxed

Computed properties:
- Calculated formation energy: 0.125 eV/atom
- E: -3.226 eV/atom
- Magnetization: 0.09 μB/atom

```
data_Ba2BeAs
_cell_length_a 8.586
_cell_length_b 8.586
_cell_length_c 7.767
_cell_angle_alpha 90.00
_cell_angle_beta 90.00
_cell_angle_gamma 90.00
_symmetry_space_group_name_H-M 'I -4 2 d'
_symmetry_Int_Tables_number 122
_symmetry_space_group_name_Hall 'I -4 2bw'
loop_
_atom_site_label
_atom_site_fract_x
_atom_site_fract_y
_atom_site_fract_z
Ba1 0.238 0.250 0.125
Be1 0.000 0.000 0.500
As1 0.000 0.000 0.000
```

---

(4)
Compound: BaBe2As
Source: Alexandria
Functional: GGA-PBEsol
Structure: relaxed

Computed properties:
- Calculated formation energy: 0.617 eV/atom
- E: -3.197 eV/atom
- Magnetization: 0.00 μB/atom

```
data_BaBe2As
_cell_length_a 4.404
_cell_length_b 4.404
_cell_length_c 4.350
_cell_angle_alpha 90.00
_cell_angle_beta 90.00
_cell_angle_gamma 90.00
_symmetry_space_group_name_H-M 'P 4/m m m'
_symmetry_Int_Tables_number 123
_symmetry_space_group_name_Hall '-P 4 2'
loop_
_atom_site_label
_atom_site_fract_x
_atom_site_fract_y
_atom_site_fract_z
Ba1 0.000 0.000 0.000
Be1 0.000 0.500 0.500
As1 0.500 0.500 0.000
```